No. 1
Below is AcSm4Rh5 after structural relaxation, with properties calculated at the PBE-GGA level.

Cell lengths 3.534, 3.534, 17.796 Å; angles 90.00, 90.00, 90.00 degrees
Atoms (fractional coordinates):
Ac: 0.000 0.000 0.000
Sm: 0.000 0.000 0.206
Sm: 0.000 0.000 0.402
Sm: 0.000 0.000 0.598
Sm: 0.000 0.000 0.794
Rh: 0.500 0.500 0.114
Rh: 0.500 0.500 0.305
Rh: 0.500 0.500 0.500
Rh: 0.500 0.500 0.695
Rh: 0.500 0.500 0.886

Values from the calculation:
Energy of formation ... -0.661 eV/atom


No. 2
Below is AcSm3Rh after structural relaxation, with properties calculated at the PBE-GGA level.

Cell lengths 5.597, 5.597, 5.597 Å; angles 90.00, 90.00, 90.00 degrees
Atoms (fractional coordinates):
Ac: 0.000 0.000 0.000
Sm: 0.000 0.500 0.500
Sm: 0.500 0.000 0.500
Sm: 0.500 0.500 0.000
Rh: 0.500 0.500 0.500

Values from the calculation:
Energy of formation ... -0.216 eV/atom


No. 3
Below is AcSmRh2 after structural relaxation, with properties calculated at the PBE-GGA level.

Cell lengths 5.104, 5.104, 5.104 Å; angles 60.00, 60.00, 60.00 degrees
Atoms (fractional coordinates):
Ac: 0.000 0.000 0.000
Sm: 0.500 0.500 0.500
Rh: 0.250 0.250 0.250
Rh: 0.750 0.750 0.750

Values from the calculation:
Energy of formation ... -0.594 eV/atom


Q: Which value of energy of formation does entry 3 give?
A: -0.594 eV/atom


Q: energy of formation of number 1 (AcSm4Rh5)?
A: -0.661 eV/atom